The following is a DFT calculation (GGA-PBE) of crystalline Mg5AlPd6 at its relaxed geometry.

Structure (CIF):
```
data_Mg5AlPd6
_space_group_name_H-M_alt 'I m m m'
_space_group_IT_number 71
_space_group_name_Hall '-I 2 2'
_cell_length_a 4.3246
_cell_length_b 6.7652
_cell_length_c 12.9724
_cell_angle_alpha 90.00
_cell_angle_beta 90.00
_cell_angle_gamma 90.00
loop_
_atom_site_label
_atom_site_fract_x
_atom_site_fract_y
_atom_site_fract_z
Mg1 0.0000 0.0000 0.0000
Mg2 0.0000 0.0000 0.3282
Mg3 0.0000 0.5000 0.3365
Al1 0.0000 0.5000 0.0000
Pd1 0.0000 0.2320 0.5000
Pd2 0.0000 0.2593 0.1625
```

## Properties
* density of states at the Fermi level: 0.4642 states/eV per atom
* size of the total moment: 0.0 μB/f.u.
* energy of formation: -0.766 eV per atom
* V: 379.5 Å³/cell



The following is a DFT calculation (GGA-PBE) of crystalline MgAl2Pd3 at its relaxed geometry.

Structure (CIF):
```
data_MgAl2Pd3
_space_group_name_H-M_alt 'P 4/m m m'
_space_group_IT_number 123
_space_group_name_Hall '-P 4 2'
_cell_length_a 3.0749
_cell_length_b 3.0749
_cell_length_c 9.6270
_cell_angle_alpha 90.00
_cell_angle_beta 90.00
_cell_angle_gamma 90.00
loop_
_atom_site_label
_atom_site_fract_x
_atom_site_fract_y
_atom_site_fract_z
Mg1 0.0000 0.0000 0.0000
Al1 0.0000 0.0000 0.3376
Pd1 0.5000 0.5000 0.1888
Pd2 0.5000 0.5000 0.5000
```

## Properties
* density of states at the Fermi level: 0.3042 states/eV per atom
* size of the total moment: 0.0 μB/f.u.
* energy of formation: -0.852 eV per atom
* V: 91.0 Å³/cell